# 1
Compound: CaTaAl2
Source: the Alexandria database
Functional: PBE-GGA
Structure: optimized geometry

Computed properties:
Its symmetry is P4mm (99). The calculation puts the polymorph energy (0 for the lowest one) at 0.264 eV/atom.

abc: 2.969 2.969 9.043
angles: 90.00 90.00 90.05
Fractional coordinates of all 4 atoms:
Ca 0.000 0.000 0.491
Ta 0.500 0.500 0.792
Al 0.500 0.500 0.217
Al 0.000 0.000 0.000

# 2
Compound: CaTaAl2
Source: the Alexandria database
Functional: PBE-GGA
Structure: optimized geometry

Computed properties:
Its symmetry is I-42d (122). The calculation puts the polymorph energy (0 for the lowest one) at 0.803 eV/atom.

abc: 4.640 4.640 10.016
angles: 76.61 76.61 90.00
Site moments in Bohr magnetons follow the coordinates.
Fractional coordinates of all 8 atoms:
Al 0.740 0.125 0.250  -0.01
Al 0.010 0.625 0.250  -0.01
Al 0.875 0.990 0.750  -0.01
Al 0.375 0.260 0.750  -0.01
Ca 0.250 0.750 0.500  0.06
Ca 0.500 0.500 0.000  0.06
Ta 0.750 0.250 0.500  0.57
Ta 0.000 0.000 0.000  0.58

# 3
Compound: Ca2TaAl
Source: the Alexandria database
Functional: PBE-GGA
Structure: optimized geometry

Computed properties:
Its symmetry is Imm2 (44).

abc: 6.453 6.453 6.453
angles: 150.35 129.68 59.49
Site moments in Bohr magnetons follow the coordinates.
Fractional coordinates of all 4 atoms:
Ta 0.463 0.463 0.000  0.38
Al 0.272 0.772 0.500  0.00
Ca 0.029 0.029 0.000  0.03
Ca 0.736 0.236 0.500  0.01

# 4
Compound: Ca2TaAl
Source: the Alexandria database
Functional: PBE-GGA
Structure: optimized geometry

Computed properties:
Its symmetry is I-4m2 (119).

abc: 5.461 5.461 5.461
angles: 128.79 128.79 75.35
Site moments in Bohr magnetons follow the coordinates.
Fractional coordinates of all 4 atoms:
Ca 0.250 0.750 0.500  0.05
Ca 0.000 0.000 0.000  0.06
Ta 0.500 0.500 0.000  1.03
Al 0.750 0.250 0.500  -0.03

# 5
Compound: Ca2TaAl
Source: the Alexandria database
Functional: PBE-GGA
Structure: optimized geometry

Computed properties:
Its symmetry is Cmmm (65).

abc: 3.054 3.054 10.200
angles: 90.00 90.00 90.97
Fractional coordinates of all 4 atoms:
Ta 0.500 0.500 0.250
Ca 0.000 0.000 0.994
Ca 0.000 0.000 0.506
Al 0.500 0.500 0.750

# 6
Compound: Ca2TaAl
Source: the Alexandria database
Functional: PBE-GGA
Structure: optimized geometry

Computed properties:
Its symmetry is I4/mmm (139).

abc: 5.873 5.873 5.873
angles: 136.59 136.59 63.08
Site moments in Bohr magnetons follow the coordinates.
Fractional coordinates of all 4 atoms:
Ta 0.250 0.750 0.500  0.65
Ca 0.500 0.500 0.000  0.05
Ca 0.000 0.000 0.000  0.05
Al 0.750 0.250 0.500  -0.02

# 7
Compound: Ca2TaAl
Source: the Alexandria database
Functional: PBE-GGA
Structure: optimized geometry

Computed properties:
Its symmetry is Cm (8).

abc: 6.165 6.165 5.731
angles: 69.94 69.94 29.58
Fractional coordinates of all 4 atoms:
Ta 0.539 0.539 0.515
Al 0.220 0.220 0.224
Ca 0.973 0.973 0.070
Ca 0.767 0.767 0.692

# 8
Compound: CaTaAl2
Source: the Alexandria database
Functional: PBE-GGA
Structure: optimized geometry

Computed properties:
Its symmetry is Pmm2 (25). The calculation puts the polymorph energy (0 for the lowest one) at 0.306 eV/atom.

abc: 2.935 3.611 7.825
angles: 90.00 90.00 90.00
Fractional coordinates of all 4 atoms:
Al 0.500 0.500 0.193
Al 0.000 0.000 0.005
Ca 0.000 0.000 0.488
Ta 0.500 0.500 0.814

Number 1: formation enthalpy at 0 K 123 meV per atom. Number 2: formation enthalpy at 0 K 662 meV per atom. Number 3: formation enthalpy at 0 K 373 meV per atom. Number 4: formation enthalpy at 0 K 513 meV per atom. Number 5: formation enthalpy at 0 K 392 meV per atom. Number 6: formation enthalpy at 0 K 490 meV per atom. Number 7: formation enthalpy at 0 K 340 meV per atom. Number 8: formation enthalpy at 0 K 165 meV per atom.